The following is a GGA-PBE calculation of a relaxed UPa2MnN4 crystal, from the Alexandria database.

extended XYZ file:
```
16
Lattice="1.662 -5.698 0.000 1.662 5.698 0.000 0.000 0.000 11.484" Properties=species:S:1:pos:R:3 pbc="T T T"
U 1.662 4.503 8.613
U 1.662 -4.503 2.871
Pa 1.662 1.536 6.420
Pa 1.662 1.536 10.806
Pa 1.662 -1.536 0.678
Pa 1.662 -1.536 5.064
Mn 1.662 3.935 2.871
Mn 1.662 -3.935 8.613
N 0.000 0.000 0.000
N 0.000 0.000 5.742
N 1.662 2.498 1.508
N 1.662 2.498 4.234
N 1.662 0.548 8.613
N 1.662 -0.548 2.871
N 1.662 -2.498 7.250
N 1.662 -2.498 9.976
```

The value obtained for the raw formation energy is -119.5 kJ/mol of atoms. The value obtained for the total magnetic moment is 1.16 μB per formula unit. The value obtained for the volume is 13.6 Å³/atom.